Arrangement a

A plane-wave DFT calculation with PBE was carried out for an optimized crystal structure of CaGeI3.

Geometry as POSCAR:
```
CaGeI3
1.0
-0.7897 -2.0464 -5.6290
5.6657 -2.0966 -0.0327
-1.9424 -5.2833 2.1933
Ge I Ca
1 3 1
Cartesian
1.4668 -4.7131 -1.7342
2.8329 -1.0483 -0.0163
-0.9712 -2.6417 1.0966
-0.3949 -1.0232 -2.8145
0.0000 0.0000 0.0000
```

**DOS(E_F)**: 2.83 states/eV/cell
**Crystal system**: cubic


Arrangement b

A plane-wave DFT calculation with PBE was carried out for an optimized crystal structure of CaGeI3.

Geometry as POSCAR:
```
CaGeI3
1.0
5.8162 0.0000 0.0000
0.0000 5.8162 0.0000
0.0000 0.0000 5.8162
I Ca Ge
3 1 1
Cartesian
0.0000 2.9081 0.0000
2.9081 0.0000 0.0000
0.0000 0.0000 2.9081
2.9081 2.9081 2.9081
0.0000 0.0000 0.0000
```

**DOS(E_F)**: 4.91 states/eV/cell
**Crystal system**: cubic


Computed energies relative to the best structure, in meV per atom: arrangement a 0; arrangement b 26


Arrangement a

A plane-wave DFT calculation with PBE was carried out for an optimized crystal structure of CaGeI2.

Geometry as POSCAR:
```
CaGeI2
1.0
-1.0424 2.0465 -3.4439
-3.9542 0.1221 -1.2183
-3.1109 9.3340 4.0005
I Ca Ge
2 1 1
Cartesian
-2.6659 6.6824 2.2901
-5.4417 4.8203 -2.9518
0.0000 0.0000 0.0000
-4.0538 5.7513 -0.3308
```

**DOS(E_F)**: 2.01 states/eV/cell
**Crystal system**: trigonal


Arrangement b

A plane-wave DFT calculation with PBE was carried out for an optimized crystal structure of CaGeI2.

Geometry as POSCAR:
```
CaGeI2
1.0
5.5400 0.0000 0.0000
0.0000 5.5400 0.0000
2.7700 2.7700 9.8098
I Ge Ca
4 2 2
Cartesian
1.3341 4.1550 2.4524
4.2059 1.3850 2.4524
4.1550 4.1041 7.3573
6.9250 6.9759 7.3573
0.0000 0.0000 0.0000
5.5400 2.7700 4.9049
2.7700 5.5400 4.9049
2.7700 2.7700 0.0000
```

**DOS(E_F)**: 0.13 states/eV/cell
**Crystal system**: tetragonal


Computed energies relative to the best structure, in meV per atom: arrangement a 220; arrangement b 0


Arrangement a

A plane-wave DFT calculation with PBE was carried out for an optimized crystal structure of CaGeI2O.

Geometry as POSCAR:
```
CaGeI2O
1.0
-2.8845 2.6456 4.5975
4.2939 -1.9081 3.7919
2.0124 3.2831 -0.6267
Ca Ge O I
1 1 1 2
Cartesian
1.7109 2.0103 3.8814
0.0000 0.0000 0.0000
1.0062 1.6416 -0.3134
-1.4422 1.3228 2.2988
2.1469 -0.9540 1.8960
```

**DOS(E_F)**: 1.76 states/eV/cell
**Crystal system**: tetragonal


Arrangement b

A plane-wave DFT calculation with PBE was carried out for an optimized crystal structure of CaGeI2O.

Geometry as POSCAR:
```
CaGeI2O
1.0
6.0929 0.0000 0.0000
0.0000 6.0929 0.0000
0.0000 0.0000 4.1250
Ca I Ge O
1 2 1 1
Cartesian
0.0000 0.0000 0.0000
0.0000 3.0464 0.0000
3.0464 0.0000 0.0000
3.0464 3.0464 2.0625
0.0000 0.0000 2.0625
```

**DOS(E_F)**: 4.60 states/eV/cell
**Crystal system**: tetragonal


Computed energies relative to the best structure, in meV per atom: arrangement a 0; arrangement b 256


Arrangement a

A plane-wave DFT calculation with PBE was carried out for an optimized crystal structure of CaGeSb2I.

Geometry as POSCAR:
```
CaGeSb2I
1.0
5.3913 0.0000 0.0000
0.0000 5.3913 0.0000
0.0000 0.0000 5.8390
Sb Ge Ca I
2 1 1 1
Cartesian
2.6956 0.0000 0.0000
0.0000 2.6956 0.0000
0.0000 0.0000 0.0000
2.6956 2.6956 2.9195
0.0000 0.0000 2.9195
```

**DOS(E_F)**: 5.34 states/eV/cell
**Crystal system**: tetragonal


Arrangement b

A plane-wave DFT calculation with PBE was carried out for an optimized crystal structure of CaGeSb2I.

Geometry as POSCAR:
```
CaGeSb2I
1.0
5.8668 0.0000 0.0000
0.0000 5.8668 0.0000
0.0000 0.0000 5.7373
Ca Ge I Sb
1 1 1 2
Cartesian
0.0000 0.0000 0.0000
2.9334 2.9334 2.8686
0.0000 0.0000 2.8686
2.9334 0.0000 0.0000
0.0000 2.9334 0.0000
```

**DOS(E_F)**: 7.44 states/eV/cell
**Crystal system**: tetragonal


Computed energies relative to the best structure, in meV per atom: arrangement a 0; arrangement b 533


Arrangement a

A plane-wave DFT calculation with PBE was carried out for an optimized crystal structure of CaGeSbI2.

Geometry as POSCAR:
```
CaGeSbI2
1.0
5.7866 0.0000 0.0000
0.0000 5.7866 0.0000
0.0000 0.0000 6.3317
Ge I Sb Ca
1 2 1 1
Cartesian
2.8933 2.8933 3.1658
2.8933 0.0000 0.0000
0.0000 2.8933 0.0000
0.0000 0.0000 3.1658
0.0000 0.0000 0.0000
```

**DOS(E_F)**: 5.00 states/eV/cell
**Crystal system**: tetragonal


Arrangement b

A plane-wave DFT calculation with PBE was carried out for an optimized crystal structure of CaGeSbI2.

Geometry as POSCAR:
```
CaGeSbI2
1.0
-0.2596 2.4368 5.1063
2.0745 -4.7147 2.3554
5.2269 1.9643 -0.6717
Ca Ge Sb I
1 1 1 2
Cartesian
3.5209 -0.1568 3.3950
0.0000 0.0000 0.0000
2.6135 0.9821 -0.3358
-0.1298 1.2184 2.5532
1.0372 -2.3574 1.1777
```

**DOS(E_F)**: 5.03 states/eV/cell
**Crystal system**: tetragonal


Computed energies relative to the best structure, in meV per atom: arrangement a 288; arrangement b 0


Arrangement a

A plane-wave DFT calculation with PBE was carried out for an optimized crystal structure of CaGeTeI2.

Geometry as POSCAR:
```
CaGeTeI2
1.0
-4.4053 -1.1636 -3.2811
3.3876 -0.2128 -4.4727
0.8361 -5.7185 0.9054
Te I Ca Ge
1 2 1 1
Cartesian
0.4181 -2.8593 0.4527
-2.2026 -0.5818 -1.6406
1.6938 -0.1064 -2.2364
-0.0908 -3.5475 -3.4243
0.0000 0.0000 0.0000
```

**DOS(E_F)**: 0.32 states/eV/cell
**Crystal system**: tetragonal


Arrangement b

A plane-wave DFT calculation with PBE was carried out for an optimized crystal structure of CaGeTeI2.

Geometry as POSCAR:
```
CaGeTeI2
1.0
-3.6641 -4.4224 -1.0157
4.4301 -3.2041 -2.0305
1.0453 -2.1800 5.7208
Ge I Ca Te
1 2 1 1
Cartesian
0.9057 -4.9033 1.3373
2.2151 -1.6021 -1.0152
-1.8321 -2.2112 -0.5079
0.0000 0.0000 0.0000
0.5227 -1.0900 2.8604
```

**DOS(E_F)**: 2.70 states/eV/cell
**Crystal system**: tetragonal


Computed energies relative to the best structure, in meV per atom: arrangement a 0; arrangement b 275


Arrangement a

A plane-wave DFT calculation with PBE was carried out for an optimized crystal structure of CaIn3Ge.

Geometry as POSCAR:
```
CaIn3Ge
1.0
-0.6829 2.7637 -5.0368
-5.2660 1.7269 1.6615
2.2971 4.7805 2.3117
In Ge Ca
3 1 1
Cartesian
-0.3414 1.3819 -2.5184
1.1485 2.3903 1.1558
-2.6330 0.8635 0.8308
-1.8259 4.6356 -0.5318
0.0000 0.0000 0.0000
```

**DOS(E_F)**: 6.13 states/eV/cell
**Crystal system**: cubic


Arrangement b

A plane-wave DFT calculation with PBE was carried out for an optimized crystal structure of CaIn3Ge.

Geometry as POSCAR:
```
CaIn3Ge
1.0
5.4433 0.0000 0.0000
0.0000 5.4433 0.0000
0.0000 0.0000 5.4433
Ge In Ca
1 3 1
Cartesian
0.0000 0.0000 0.0000
2.7216 0.0000 0.0000
0.0000 2.7216 0.0000
0.0000 0.0000 2.7216
2.7216 2.7216 2.7216
```

**DOS(E_F)**: 3.67 states/eV/cell
**Crystal system**: cubic


Computed energies relative to the best structure, in meV per atom: arrangement a 665; arrangement b 0


Arrangement a

A plane-wave DFT calculation with PBE was carried out for an optimized crystal structure of CaInGe3.

Geometry as POSCAR:
```
CaInGe3
1.0
5.2768 0.0000 0.0000
0.0000 5.2768 0.0000
0.0000 0.0000 5.2768
Ca Ge In
1 3 1
Cartesian
2.6384 2.6384 2.6384
0.0000 2.6384 0.0000
2.6384 0.0000 0.0000
0.0000 0.0000 2.6384
0.0000 0.0000 0.0000
```

**DOS(E_F)**: 3.12 states/eV/cell
**Crystal system**: cubic


Arrangement b

A plane-wave DFT calculation with PBE was carried out for an optimized crystal structure of CaInGe3.

Geometry as POSCAR:
```
CaInGe3
1.0
-3.2807 -0.3868 -4.3121
-0.9781 -5.2041 1.2109
-4.2174 1.5078 3.0734
Ge Ca In
3 1 1
Cartesian
-1.6403 -0.1934 -2.1560
-0.4891 -2.6021 0.6055
-2.1087 0.7539 1.5367
0.0000 0.0000 0.0000
-4.2381 -2.0416 -0.0138
```

**DOS(E_F)**: 4.65 states/eV/cell
**Crystal system**: cubic


Computed energies relative to the best structure, in meV per atom: arrangement a 0; arrangement b 393


Arrangement a

A plane-wave DFT calculation with PBE was carried out for an optimized crystal structure of CaInGeIr2.

Geometry as POSCAR:
```
CaInGeIr2
1.0
4.9981 0.0000 0.0000
0.0000 5.0167 0.0000
0.0000 0.0000 4.9981
Ge Ir Ca In
1 2 1 1
Cartesian
0.0000 2.5083 0.0000
2.4990 0.0000 0.0000
0.0000 0.0000 2.4990
2.4990 2.5083 2.4990
0.0000 0.0000 0.0000
```

**DOS(E_F)**: 5.51 states/eV/cell
**Crystal system**: tetragonal


Arrangement b

A plane-wave DFT calculation with PBE was carried out for an optimized crystal structure of CaInGeIr2.

Geometry as POSCAR:
```
CaInGeIr2
1.0
-0.9927 -3.1990 3.2095
-2.8429 -2.7304 -3.6008
3.7991 -2.3786 -1.1958
In Ge Ir Ca
1 1 2 1
Cartesian
-0.0182 -4.1540 -0.7935
0.0000 0.0000 0.0000
-0.4963 -1.5995 1.6048
1.8995 -1.1893 -0.5979
-1.4214 -1.3652 -1.8004
```

**DOS(E_F)**: 2.82 states/eV/cell
**Crystal system**: tetragonal


Computed energies relative to the best structure, in meV per atom: arrangement a 521; arrangement b 0


Arrangement a

A plane-wave DFT calculation with PBE was carried out for an optimized crystal structure of CaGe3Ir2.

Geometry as POSCAR:
```
CaGe3Ir2
1.0
5.9401 0.0000 0.0000
2.9701 5.1443 0.0000
2.9701 1.7148 7.2324
Ge Ca Ir
6 2 4
Cartesian
5.9401 1.7404 1.9160
4.4772 4.2741 1.9160
4.4772 2.5849 5.3163
5.9401 5.1187 5.3163
7.4030 2.5849 5.3163
7.4030 4.2741 1.9160
8.9102 5.1443 4.5283
2.9701 1.7148 2.7040
2.9701 0.0000 0.0000
1.4850 2.5721 0.0000
0.0000 0.0000 0.0000
4.4551 2.5721 0.0000
```

**DOS(E_F)**: 8.18 states/eV/cell
**Crystal system**: trigonal


Arrangement b

A plane-wave DFT calculation with PBE was carried out for an optimized crystal structure of CaGe3Ir2.

Geometry as POSCAR:
```
CaGe3Ir2
1.0
-0.2396 1.4193 -3.7838
6.4961 -5.5579 -0.3304
-8.0374 -5.7678 -1.6546
Ge Ca Ir
9 3 6
Cartesian
-2.2851 -2.5821 -0.8239
0.2028 -1.6305 -2.7901
-1.9837 -8.2760 -2.9787
-4.1385 -2.1743 -2.7192
-5.6636 -6.0238 -4.0666
-1.7115 -5.5459 -4.1376
3.8827 -3.8826 -1.7022
0.5042 -7.3243 -4.9449
-0.0694 -4.3605 -1.6312
0.0000 0.0000 0.0000
-3.6884 -5.4394 -1.8068
1.9075 -4.4670 -3.9620
4.4021 -6.1067 -2.5693
-0.0445 -6.7043 -2.5120
-1.7364 -3.2021 -3.2568
1.9035 -2.5527 -1.0780
-6.1830 -3.7998 -3.1995
-3.6844 -7.3538 -4.6908
```

**DOS(E_F)**: 6.56 states/eV/cell
**Crystal system**: monoclinic


Computed energies relative to the best structure, in meV per atom: arrangement a 173; arrangement b 0


Arrangement a

A plane-wave DFT calculation with PBE was carried out for an optimized crystal structure of CaGe2IrPd.

Geometry as POSCAR:
```
CaGe2IrPd
1.0
-3.3424 -0.6862 2.4430
1.6961 -3.6091 1.3069
3.2068 4.7093 2.1058
Ge Pd Ca Ir
2 1 1 1
Cartesian
-0.2443 -1.5256 2.8415
1.8049 1.9397 3.0141
-0.4793 0.9378 3.2119
0.0000 0.0000 0.0000
2.0399 -0.5237 2.6438
```

**DOS(E_F)**: 2.58 states/eV/cell
**Crystal system**: tetragonal


Arrangement b

A plane-wave DFT calculation with PBE was carried out for an optimized crystal structure of CaGe2IrPd.

Geometry as POSCAR:
```
CaGe2IrPd
1.0
-3.5377 -3.0814 0.2063
0.4717 -0.9027 -5.3944
3.0618 -3.4586 0.8465
Ge Ca Ir Pd
2 1 1 1
Cartesian
1.5309 -1.7293 0.4233
-1.7689 -1.5407 0.1031
0.2359 -0.4513 -2.6972
0.0000 0.0000 0.0000
-0.0021 -3.7214 -2.1708
```

**DOS(E_F)**: 2.60 states/eV/cell
**Crystal system**: tetragonal


Computed energies relative to the best structure, in meV per atom: arrangement a 0; arrangement b 622


Arrangement a

A plane-wave DFT calculation with PBE was carried out for an optimized crystal structure of CaGe2IrPt.

Geometry as POSCAR:
```
CaGe2IrPt
1.0
-0.6183 2.5303 3.2381
-1.3261 -3.2222 2.2647
6.0089 -0.5557 -1.0850
Ge Pt Ca Ir
2 1 1 1
Cartesian
0.2318 -0.5615 3.1497
3.8327 -0.6861 1.2680
2.2092 0.8144 2.4522
0.0000 0.0000 0.0000
1.8553 -2.0619 1.9655
```

**DOS(E_F)**: 1.77 states/eV/cell
**Crystal system**: tetragonal


Arrangement b

A plane-wave DFT calculation with PBE was carried out for an optimized crystal structure of CaGe2IrPt.

Geometry as POSCAR:
```
CaGe2IrPt
1.0
4.6686 0.0000 0.0000
0.0000 5.4670 0.0000
0.0000 0.0000 4.6686
Pt Ge Ir Ca
1 2 1 1
Cartesian
2.3343 2.7335 2.3343
2.3343 0.0000 0.0000
0.0000 0.0000 2.3343
0.0000 0.0000 0.0000
0.0000 2.7335 0.0000
```

**DOS(E_F)**: 2.26 states/eV/cell
**Crystal system**: tetragonal


Computed energies relative to the best structure, in meV per atom: arrangement a 0; arrangement b 659